Entry 1:
TbAg4Ge2: relaxed, PBE.

## Properties
* uncorrected energy: -3.842 eV/atom
* size of the total moment: 0.00 μB per atom
* SG: Cmmm (65)

```
TbAg4Ge2
1.0
4.160 0.000 0.000
0.000 15.893 0.000
0.000 0.000 4.128
Tb Ag Ge
2 8 4
Cartesian
0.000 0.000 0.000
2.080 7.946 0.000
0.000 2.888 2.064
0.000 5.025 0.000
0.000 10.868 0.000
0.000 13.004 2.064
2.080 2.922 0.000
2.080 5.058 2.064
2.080 10.835 2.064
2.080 12.971 0.000
0.000 6.735 2.064
0.000 9.157 2.064
2.080 1.211 2.064
2.080 14.681 2.064
```


Entry 2:
Tb6Ag5Ge: relaxed, PBE.

## Properties
* uncorrected energy: -4.277 eV/atom
* size of the total moment: 0.00 μB per atom
* SG: Cmmm (65)

```
Tb6Ag5Ge
1.0
2.568 -7.754 0.000
2.568 7.754 0.000
0.000 0.000 7.260
Tb Ag Ge
6 5 1
Cartesian
0.000 0.000 1.771
0.000 0.000 5.490
2.568 2.544 1.809
2.568 2.544 5.452
2.568 -2.544 1.809
2.568 -2.544 5.452
2.568 5.145 3.630
2.568 5.062 0.000
2.568 0.000 3.630
2.568 -5.062 0.000
2.568 -5.145 3.630
2.568 0.000 0.000
```


Entry 3:
TbAgGe2Te4: relaxed, PBE.

## Properties
* ΔE_f (raw): -425.9 meV/atom
* size of the total moment: 0.00 μB per atom
* SG: P2/m (10)

```
TbAgGe2Te4
1.0
7.395 0.000 0.000
0.000 4.307 0.000
-2.576 0.000 7.144
Tb Ag Ge Te
1 1 2 4
Cartesian
0.000 0.000 0.000
3.697 2.154 0.000
-1.288 2.154 3.572
2.409 0.000 3.572
-0.065 0.000 5.332
1.177 2.154 1.875
4.883 0.000 1.813
3.642 2.154 5.270
```


Entry 4:
Tb8AgGe3Te4: relaxed, PBE.

## Properties
* ΔE_f (raw): -1074.3 meV/atom
* size of the total moment: 0.00 μB per atom
* SG: R-3m (166)

```
Tb8AgGe3Te4
1.0
4.268 2.464 7.109
-4.268 2.464 7.109
0.000 -4.928 7.109
Tb Ag Ge Te
8 1 3 4
Cartesian
-2.210 -1.276 12.285
0.000 0.000 5.118
0.000 -2.552 9.043
-2.210 1.276 9.043
2.210 -1.276 12.285
0.000 2.552 12.285
0.000 0.000 16.210
2.210 1.276 9.043
0.000 0.000 10.664
-4.268 0.000 10.664
-2.134 1.232 3.555
2.134 1.232 3.555
0.000 0.000 0.000
-2.134 -1.232 7.109
-2.134 1.232 14.218
0.000 2.464 7.109
```


Entry 5:
TbAg2GeTe4: relaxed, PBE.

## Properties
* ΔE_f (raw): -409.6 meV/atom
* size of the total moment: 0.00 μB per atom
* SG: P2/m (10)

```
TbAg2GeTe4
1.0
7.199 0.000 0.000
0.000 4.317 0.000
-2.563 0.000 7.149
Tb Ag Ge Te
1 2 1 4
Cartesian
0.000 0.000 0.000
2.318 0.000 3.575
3.600 2.159 0.000
-1.281 2.159 3.575
-0.084 0.000 5.300
1.154 2.159 1.860
3.483 2.159 5.289
4.721 0.000 1.849
```


Entry 6:
TbThAgGe: relaxed, PBE.

## Properties
* uncorrected energy: -5.270 eV/atom
* size of the total moment: 0.00 μB per atom
* SG: F-43m (216)

```
TbThAgGe
1.0
7.327 0.000 0.000
0.000 7.327 0.000
0.000 0.000 7.327
Tb Th Ag Ge
4 4 4 4
Cartesian
0.000 0.000 0.000
0.000 3.663 3.663
3.663 0.000 3.663
3.663 3.663 0.000
0.000 0.000 3.663
0.000 3.663 0.000
3.663 0.000 0.000
3.663 3.663 3.663
1.832 1.832 5.495
1.832 5.495 1.832
5.495 1.832 1.832
5.495 5.495 5.495
1.832 1.832 1.832
1.832 5.495 5.495
5.495 1.832 5.495
5.495 5.495 1.832
```


Entry 7:
TcAg2Ge: relaxed, PBE.

## Properties
* uncorrected energy: -4.637 eV/atom
* size of the total moment: 0.35 μB per atom
* SG: I-42d (122)

```
TcAg2Ge
1.0
3.737 0.000 0.000
0.000 3.737 0.000
0.000 0.000 20.575
Tc Ag Ge
4 8 4
Cartesian
0.000 0.000 0.000
0.000 1.869 5.144
1.869 0.000 15.431
1.869 1.869 10.288
0.932 0.934 2.572
0.934 2.801 7.716
0.934 2.806 18.003
0.937 0.934 12.859
2.801 2.803 12.859
2.803 0.932 18.003
2.803 0.937 7.716
2.806 2.803 2.572
0.000 0.000 10.288
0.000 1.869 15.431
1.869 0.000 5.144
1.869 1.869 0.000
```


Entry 8:
Tc3AgGe: relaxed, PBE.

## Properties
* ΔE to the lowest computed polymorph: 1016 meV per atom
* size of the total moment: 1.38 μB per atom
* SG: Pm-3m (221)

```
Tc3AgGe
1.0
4.844 0.000 0.000
0.000 4.844 0.000
0.000 0.000 4.844
Tc Ag Ge
3 1 1
Cartesian
0.000 0.000 2.422
0.000 2.422 0.000
2.422 0.000 0.000
0.000 0.000 0.000
2.422 2.422 2.422
```